Entry 1:
This record from the Alexandria database describes a geometry-optimized ReNiSb2Te structure. The functional is PBE-GGA.

Lattice parameters (Å, degrees): 5.130 5.130 5.261 90.00 90.00 90.00
Sites, in units of the cell vectors:
Re1 0.000 0.000 0.000
Ni1 0.500 0.500 0.500
Sb1 0.000 0.500 0.000
Sb2 0.500 0.000 0.000
Te1 0.000 0.000 0.500

Summary:
Space-group type: P4/mmm (123)
Energy relative to the elements, uncorrected (eV/atom): 1.116

Entry 2:
This record from the Alexandria database describes a geometry-optimized Nd2ErZn6 structure. The functional is PBE-GGA.

Lattice parameters (Å, degrees): 7.867 7.867 3.561 90.00 90.00 120.00
Sites, in units of the cell vectors:
Nd1 0.333 0.667 0.000
Nd2 0.667 0.333 0.000
Er1 0.000 0.000 0.000
Zn1 0.000 0.329 0.500
Zn2 0.000 0.671 0.500
Zn3 0.329 0.000 0.500
Zn4 0.329 0.329 0.500
Zn5 0.671 0.000 0.500
Zn6 0.671 0.671 0.500

Summary:
Space-group type: P6/mmm (191)
Energy of formation from the pure elements (kJ/mol of formula units): -306

Entry 3:
This record from the Alexandria database describes a geometry-optimized Li4Cd3Sn5 structure. The functional is PBE-GGA.

Lattice parameters (Å, degrees): 7.554 7.554 7.897 106.79 106.79 42.61
Sites, in units of the cell vectors:
Li1 0.085 0.085 0.217
Li2 0.295 0.295 0.249
Li3 0.705 0.705 0.751
Li4 0.915 0.915 0.783
Cd1 0.246 0.246 0.576
Cd2 0.500 0.500 0.500
Cd3 0.754 0.754 0.424
Sn1 0.000 0.000 0.500
Sn2 0.143 0.143 0.882
Sn3 0.382 0.382 0.958
Sn4 0.618 0.618 0.042
Sn5 0.857 0.857 0.118

Summary:
Space-group type: C2/m (12)
Energy of formation from the pure elements (kJ/mol of formula units): -119

Entry 4:
This record from the Alexandria database describes a geometry-optimized InTe2P structure. The functional is PBE-GGA.

Lattice parameters (Å, degrees): 8.934 8.934 8.934 141.27 141.27 55.93
Sites, in units of the cell vectors:
In1 0.000 0.000 0.000
In2 0.750 0.250 0.500
Te1 0.180 0.625 0.055
Te2 0.375 0.430 0.555
Te3 0.570 0.125 0.945
Te4 0.875 0.820 0.445
P1 0.250 0.750 0.500
P2 0.500 0.500 0.000

Summary:
Space-group type: I-42d (122)
Energy relative to the elements, uncorrected (eV/atom): 0.205

Entry 5:
This record from the Alexandria database describes a geometry-optimized VTcAs2H structure. The functional is PBE-GGA.

Lattice parameters (Å, degrees): 4.692 4.692 4.933 90.00 90.00 90.00
Sites, in units of the cell vectors:
V1 0.000 0.000 0.000
Tc1 0.000 0.000 0.500
As1 0.000 0.500 0.500
As2 0.500 0.000 0.500
H1 0.500 0.500 0.000

Summary:
Space-group type: P4/mmm (123)

Entry 6:
This record from the Alexandria database describes a geometry-optimized ScIrCl2 structure. The functional is PBE-GGA.

Lattice parameters (Å, degrees): 5.297 5.297 5.315 97.55 97.55 36.90
Sites, in units of the cell vectors:
Sc1 0.000 0.000 0.000
Ir1 0.629 0.629 0.283
Cl1 0.278 0.278 0.997
Cl2 0.490 0.490 0.592

Summary:
Space-group type: Cm (8)
Energy relative to the elements, uncorrected (eV/atom): -0.707

Entry 7:
This record from the Alexandria database describes a geometry-optimized ZnB2Pt6 structure. The functional is PBE-GGA.

Lattice parameters (Å, degrees): 6.828 6.828 6.828 114.58 107.30 106.66
Sites, in units of the cell vectors:
Zn1 0.000 0.000 0.000
Zn2 0.500 0.500 0.000
B1 0.120 0.620 0.500
B2 0.352 0.000 0.352
B3 0.648 0.000 0.648
B4 0.880 0.380 0.500
Pt1 0.014 0.223 0.791
Pt2 0.181 0.304 0.485
Pt3 0.181 0.696 0.877
Pt4 0.324 0.023 0.699
Pt5 0.324 0.625 0.301
Pt6 0.432 0.223 0.209
Pt7 0.568 0.777 0.791
Pt8 0.676 0.375 0.699
Pt9 0.676 0.977 0.301
Pt10 0.819 0.304 0.123
Pt11 0.819 0.696 0.515
Pt12 0.986 0.777 0.209

Summary:
Space-group type: Immm (71)
Energy of formation from the pure elements (kJ/mol of formula units): -149

Entry 8:
This record from the Alexandria database describes a geometry-optimized LiZr2H structure. The functional is PBE-GGA.

Lattice parameters (Å, degrees): 4.458 4.458 4.458 60.00 60.00 60.00
Sites, in units of the cell vectors:
Li1 0.000 0.000 0.000
Zr1 0.250 0.250 0.250
Zr2 0.750 0.750 0.750
H1 0.500 0.500 0.500

Summary:
Space-group type: Fm-3m (225)

Entry 9:
This record from the Alexandria database describes a geometry-optimized CdAg2Cl structure. The functional is PBE-GGA.

Lattice parameters (Å, degrees): 5.152 5.152 6.903 117.13 117.13 36.36
Sites, in units of the cell vectors:
Cd1 0.000 0.000 0.000
Ag1 0.222 0.222 0.812
Ag2 0.778 0.778 0.188
Cl1 0.500 0.500 0.500

Summary:
Space-group type: C2/m (12)
Energy relative to the elements, uncorrected (eV/atom): -0.134

Entry 10:
This record from the Alexandria database describes a geometry-optimized NbIn3Se structure. The functional is PBE-GGA.

Lattice parameters (Å, degrees): 5.241 5.241 5.241 90.00 90.00 90.00
Sites, in units of the cell vectors:
Nb1 0.000 0.000 0.000
In1 0.000 0.500 0.500
In2 0.500 0.000 0.500
In3 0.500 0.500 0.000
Se1 0.500 0.500 0.500

Summary:
Space-group type: Pm-3m (221)
Energy relative to the elements, uncorrected (eV/atom): 1.087

Entry 11:
This record from the Alexandria database describes a geometry-optimized Ca2NbNi2 structure. The functional is PBE-GGA.

Lattice parameters (Å, degrees): 6.542 6.542 4.738 90.00 90.00 90.00
Sites, in units of the cell vectors:
Ca1 0.178 0.322 0.000
Ca2 0.322 0.822 0.000
Ca3 0.678 0.178 0.000
Ca4 0.822 0.678 0.000
Nb1 0.000 0.000 0.500
Nb2 0.500 0.500 0.500
Ni1 0.128 0.628 0.500
Ni2 0.372 0.128 0.500
Ni3 0.628 0.872 0.500
Ni4 0.872 0.372 0.500

Summary:
Space-group type: P4/mbm (127)
Energy of formation from the pure elements (kJ/mol of formula units): 58

Entry 12:
This record from the Alexandria database describes a geometry-optimized DyZnHgPb structure. The functional is PBE-GGA.

Lattice parameters (Å, degrees): 5.186 5.186 5.186 60.00 60.00 60.00
Sites, in units of the cell vectors:
Dy1 0.000 0.000 0.000
Zn1 0.250 0.250 0.250
Hg1 0.750 0.750 0.750
Pb1 0.500 0.500 0.500

Summary:
Space-group type: F-43m (216)
Energy of formation from the pure elements (kJ/mol of formula units): -61

Entry 13:
This record from the Alexandria database describes a geometry-optimized ZnIrO2 structure. The functional is PBE-GGA.

Lattice parameters (Å, degrees): 5.573 5.573 5.573 128.27 128.27 76.19
Sites, in units of the cell vectors:
Zn1 0.000 0.000 0.000
Zn2 0.750 0.250 0.500
Ir1 0.250 0.750 0.500
Ir2 0.500 0.500 0.000
O1 0.103 0.625 0.978
O2 0.375 0.353 0.478
O3 0.647 0.125 0.022
O4 0.875 0.897 0.522

Summary:
Space-group type: I-42d (122)
Energy relative to the elements, uncorrected (eV/atom): -0.233

Entry 14:
This record from the Alexandria database describes a geometry-optimized La3I4 structure. The functional is PBE-GGA.

Lattice parameters (Å, degrees): 8.460 8.460 8.460 109.47 109.47 109.47
Sites, in units of the cell vectors:
La1 0.125 0.750 0.875
La2 0.250 0.625 0.375
La3 0.375 0.250 0.625
La4 0.625 0.375 0.250
La5 0.750 0.875 0.125
La6 0.875 0.125 0.750
I1 0.000 0.350 0.500
I2 0.000 0.850 0.500
I3 0.150 0.150 0.150
I4 0.350 0.500 0.000
I5 0.500 0.000 0.350
I6 0.500 0.000 0.850
I7 0.650 0.650 0.650
I8 0.850 0.500 0.000

Summary:
Space-group type: I-43d (220)
Energy relative to the elements, uncorrected (eV/atom): -0.999

Entry 15:
This record from the Alexandria database describes a geometry-optimized MnSBr2 structure. The functional is PBE-GGA.

Lattice parameters (Å, degrees): 4.973 4.973 4.973 60.00 60.00 60.00
Sites, in units of the cell vectors:
Mn1 0.000 0.000 0.000
S1 0.500 0.500 0.500
Br1 0.250 0.250 0.250
Br2 0.750 0.750 0.750

Summary:
Space-group type: Fm-3m (225)
Energy relative to the elements, uncorrected (eV/atom): 0.459

Entry 16:
This record from the Alexandria database describes a geometry-optimized Er3PuP4 structure. The functional is PBE-GGA.

Lattice parameters (Å, degrees): 6.863 7.947 6.887 90.00 109.50 90.00
Sites, in units of the cell vectors:
Er1 0.000 0.124 0.250
Er2 0.000 0.373 0.750
Er3 0.000 0.627 0.250
Er4 0.000 0.876 0.750
Er5 0.500 0.124 0.750
Er6 0.500 0.876 0.250
Pu1 0.500 0.374 0.250
Pu2 0.500 0.626 0.750
P1 0.250 0.125 0.001
P2 0.250 0.875 0.501
P3 0.253 0.377 0.500
P4 0.253 0.623 0.000
P5 0.747 0.377 0.000
P6 0.747 0.623 0.500
P7 0.750 0.125 0.499
P8 0.750 0.875 0.999

Summary:
Space-group type: P2/c (13)
Energy of formation from the pure elements (kJ/mol of formula units): -1151

Entry 17:
This record from the Alexandria database describes a geometry-optimized BeAg2BPb structure. The functional is PBE-GGA.

Lattice parameters (Å, degrees): 5.436 5.436 4.606 90.00 90.00 90.00
Sites, in units of the cell vectors:
Be1 0.000 0.000 0.000
Ag1 0.000 0.500 0.500
Ag2 0.500 0.000 0.500
B1 0.500 0.500 0.000
Pb1 0.500 0.500 0.500

Summary:
Space-group type: P4/mmm (123)
Energy of formation from the pure elements (kJ/mol of formula units): 823

Entry 18:
This record from the Alexandria database describes a geometry-optimized YZrNi10 structure. The functional is PBE-GGA.

Lattice parameters (Å, degrees): 3.962 4.818 8.345 90.00 90.00 90.00
Sites, in units of the cell vectors:
Y1 0.000 0.000 0.000
Zr1 0.000 0.500 0.500
Ni1 0.000 0.000 0.340
Ni2 0.000 0.000 0.660
Ni3 0.000 0.500 0.175
Ni4 0.000 0.500 0.825
Ni5 0.500 0.000 0.500
Ni6 0.500 0.253 0.256
Ni7 0.500 0.253 0.744
Ni8 0.500 0.500 0.000
Ni9 0.500 0.747 0.256
Ni10 0.500 0.747 0.744

Summary:
Space-group type: Pmmm (47)
Energy of formation from the pure elements (kJ/mol of formula units): -351

Entry 19:
This record from the Alexandria database describes a geometry-optimized In2SnPtBr structure. The functional is PBE-GGA.

Lattice parameters (Å, degrees): 5.284 5.284 5.248 90.00 90.00 90.00
Sites, in units of the cell vectors:
In1 0.000 0.500 0.000
In2 0.500 0.000 0.000
Sn1 0.000 0.000 0.500
Pt1 0.000 0.000 0.000
Br1 0.500 0.500 0.500

Summary:
Space-group type: P4/mmm (123)
Energy relative to the elements, uncorrected (eV/atom): -0.382

Entry 20:
This record from the Alexandria database describes a geometry-optimized Er5TmAg6 structure. The functional is PBE-GGA.

Lattice parameters (Å, degrees): 8.089 8.089 7.135 90.00 90.00 143.09
Sites, in units of the cell vectors:
Er1 0.000 0.000 0.000
Er2 0.333 0.667 0.000
Er3 0.334 0.666 0.500
Er4 0.666 0.334 0.500
Er5 0.667 0.333 0.000
Tm1 0.000 0.000 0.500
Ag1 0.166 0.834 0.251
Ag2 0.166 0.834 0.749
Ag3 0.500 0.500 0.251
Ag4 0.500 0.500 0.749
Ag5 0.834 0.166 0.251
Ag6 0.834 0.166 0.749

Summary:
Space-group type: Cmmm (65)
Energy of formation from the pure elements (kJ/mol of formula units): -391

Entry 21:
This record from the Alexandria database describes a geometry-optimized SrOsC2O8 structure. The functional is PBE-GGA.

Lattice parameters (Å, degrees): 4.563 4.563 7.354 93.71 93.71 65.63
Sites, in units of the cell vectors:
Sr1 0.000 0.000 0.000
Os1 0.000 0.000 0.500
C1 0.365 0.365 0.707
C2 0.635 0.635 0.293
O1 0.245 0.710 0.692
O2 0.247 0.247 0.548
O3 0.290 0.755 0.308
O4 0.301 0.301 0.867
O5 0.699 0.699 0.133
O6 0.710 0.245 0.692
O7 0.753 0.753 0.452
O8 0.755 0.290 0.308

Summary:
Space-group type: C2/m (12)
Energy relative to the elements, uncorrected (eV/atom): -1.326

Entry 22:
This record from the Alexandria database describes a geometry-optimized Cu2Pd5Pb structure. The functional is PBE-GGA.

Lattice parameters (Å, degrees): 5.548 5.548 5.548 117.03 117.03 95.23
Sites, in units of the cell vectors:
Cu1 0.000 0.500 0.500
Cu2 0.500 0.000 0.500
Pd1 0.000 0.000 0.000
Pd2 0.000 0.000 0.500
Pd3 0.000 0.500 0.000
Pd4 0.500 0.000 0.000
Pd5 0.500 0.500 0.500
Pb1 0.500 0.500 0.000

Summary:
Space-group type: I4/mmm (139)
Energy of formation from the pure elements (kJ/mol of formula units): -100

Entry 23:
This record from the Alexandria database describes a geometry-optimized Rb2ZrSiPb structure. The functional is PBE-GGA.

Lattice parameters (Å, degrees): 6.870 6.870 5.618 90.00 90.00 90.00
Sites, in units of the cell vectors:
Rb1 0.000 0.500 0.000
Rb2 0.500 0.000 0.000
Zr1 0.000 0.000 0.500
Si1 0.500 0.500 0.500
Pb1 0.000 0.000 0.000

Summary:
Space-group type: P4/mmm (123)
Energy relative to the elements, uncorrected (eV/atom): 1.109

Entry 24:
This record from the Alexandria database describes a geometry-optimized PmGaSn structure. The functional is PBE-GGA.

Lattice parameters (Å, degrees): 4.452 4.452 4.468 90.00 90.00 120.00
Sites, in units of the cell vectors:
Pm1 0.000 0.000 0.000
Ga1 0.333 0.667 0.350
Sn1 0.667 0.333 0.559

Summary:
Space-group type: P3m1 (156)
Energy of formation from the pure elements (kJ/mol of formula units): -181

| no. | uncorrected energy (eV for the cell shown) | magnetization (μB per formula unit) |
| --- | --- | --- |
| 1 | -24.04 | 0.57 |
| 2 | -24.92 | 0.00 |
| 3 | -31.65 | 0.00 |
| 4 | -27.22 | 0.00 |
| 5 | -27.22 | 2.20 |
| 6 | -21.71 | 0.00 |
| 7 | -104.83 | 0.00 |
| 8 | -20.46 | 0.00 |
| 9 | -9.00 | 0.00 |
| 10 | -16.33 | 0.00 |
| 11 | -50.06 | 0.00 |
| 12 | -10.51 | 0.00 |
| 13 | -41.97 | 0.00 |
| 14 | -55.96 | 0.00 |
| 15 | -14.81 | 3.00 |
| 16 | -123.17 | 4.90 |
| 17 | -11.29 | 0.00 |
| 18 | -76.46 | 2.52 |
| 19 | -19.10 | 0.00 |
| 20 | -48.45 | 0.00 |
| 21 | -86.94 | 0.00 |
| 22 | -38.90 | 0.00 |
| 23 | -14.07 | 1.06 |
| 24 | -13.66 | 0.00 |